Below is ZnIn3Ir at its PBEsol-relaxed geometry, with properties calculated at the meta-GGA SCAN level.

Cell lengths 4.8502, 4.8502, 4.8502 Å; angles 90.00, 90.00, 90.00 degrees
Element x y z (fractional)
In 0.0000 0.0000 0.5000
In 0.5000 0.0000 0.0000
Zn 0.0000 0.0000 0.0000
In 0.0000 0.5000 0.0000
Ir 0.5000 0.5000 0.5000

## Properties
N(E_F)   4.6 states/eV/cell
Total moment   0.001 μB per atom
E_form   0.994 eV/atom